# 1
TiOsOF2 | PBE | optimized geometry

abc: 4.1188 4.1188 3.8480
angles: 90.00 90.00 90.00
With the nearest neighbours (Å) after each atom.
Sites, in units of the cell vectors:
1 Os 0.5000 0.5000 0.5000  8 F 2.82, 4 O 2.91
2 O 0.0000 0.0000 0.5000  2 Ti 1.92
3 F 0.0000 0.5000 0.0000  2 Ti 2.06
4 F 0.5000 0.0000 0.0000  2 Ti 2.06
5 Ti 0.0000 0.0000 0.0000  2 O 1.92, 4 F 2.06

Summary:
Mass density = 7.43 g/cm³
Relative energy among the computed polymorphs = 0 meV per atom
Uncorrected formation energy = -878 meV/atom
Crystal system = tetragonal

# 2
TlOsOF2 | PBE | optimized geometry

abc: 4.5975 4.5975 4.1678
angles: 90.00 90.00 90.00
With the nearest neighbours (Å) after each atom.
Sites, in units of the cell vectors:
1 F 0.5000 0.0000 0.0000  2 Tl 2.30
2 F 0.0000 0.5000 0.0000  2 Tl 2.30
3 Tl 0.0000 0.0000 0.0000  2 O 2.08, 4 F 2.30
4 O 0.0000 0.0000 0.5000  2 Tl 2.08
5 Os 0.5000 0.5000 0.5000  8 F 3.10, 4 O 3.25

Summary:
Mass density = 8.46 g/cm³
Relative energy among the computed polymorphs = 1308 meV per atom
Uncorrected formation energy = 332 meV/atom
Crystal system = tetragonal

# 3
Tl2OsO2F4 | PBE | optimized geometry

abc: 5.0301 5.9779 5.9779
angles: 63.20 86.97 86.97
With the nearest neighbours (Å) after each atom.
Sites, in units of the cell vectors:
1 F 0.6762 0.3331 0.8637  1 Os 2.02
2 F 0.3238 0.6669 0.1363  1 Os 2.02
3 F 0.3238 0.1363 0.6669  1 Os 2.02
4 F 0.6762 0.8637 0.3331  1 Os 2.02
5 O 0.7643 0.8785 0.8785  1 Os 1.76
6 O 0.2357 0.1215 0.1215  1 Os 1.76
7 Os 0.5000 0.0000 0.0000  2 O 1.76
8 Tl 0.8020 0.3345 0.3345  8 F 2.92-3.22, 3 O 2.98-3.17
9 Tl 0.1980 0.6655 0.6655  8 F 2.92-3.22, 3 O 2.98-3.17

Summary:
Mass density = 7.33 g/cm³
Uncorrected formation energy = -1559 meV/atom
Crystal system = monoclinic

# 4
Tl5OsO4F2 | PBE | optimized geometry

abc: 7.0246 6.3721 7.5308
angles: 90.00 90.00 123.45
With the nearest neighbours (Å) after each atom.
Sites, in units of the cell vectors:
1 O 0.1323 0.7147 0.0000  1 Os 1.80
2 O 0.4176 0.2853 0.0000  1 Os 1.80
3 O 0.6124 0.0000 0.1702  1 Os 1.90
4 O 0.6124 0.0000 0.8298  1 Os 1.90
5 F 0.8488 0.4021 0.5000  3 Tl 2.54-2.63
6 F 0.4466 0.5979 0.5000  3 Tl 2.54-2.63
7 Tl 0.7029 0.6594 0.7604  1 F 2.54, 2 O 2.63-2.77
8 Tl 0.4297 0.0000 0.5000  2 F 2.63, 2 O 2.80
9 Tl 0.7029 0.6594 0.2396  1 F 2.54, 2 O 2.63-2.77
10 Tl 0.0435 0.3406 0.2396  1 F 2.54, 2 O 2.63-2.77
11 Tl 0.0435 0.3406 0.7604  1 F 2.54, 2 O 2.63-2.77
12 Os 0.4131 0.0000 0.0000  4 O 1.80-1.90

Summary:
Mass density = 7.76 g/cm³
Uncorrected formation energy = -1011 meV/atom
Crystal system = orthorhombic

# 5
TlOsO2F | PBE | optimized geometry

abc: 3.7167 3.7167 7.0272
angles: 90.00 90.00 90.00
With the nearest neighbours (Å) after each atom.
Sites, in units of the cell vectors:
1 Tl 0.5000 0.5000 0.5000  4 F 2.63
2 O 0.0000 0.5000 0.0000  2 Os 1.86
3 O 0.5000 0.0000 0.0000  2 Os 1.86
4 Os 0.0000 0.0000 0.0000  4 O 1.86
5 F 0.0000 0.0000 0.5000  4 Tl 2.63

Summary:
Mass density = 7.62 g/cm³
Uncorrected formation energy = -1042 meV/atom
Crystal system = tetragonal

# 6
TlOsO2F | PBE | optimized geometry

abc: 4.3048 4.3048 4.3612
angles: 90.00 90.00 90.00
With the nearest neighbours (Å) after each atom.
Sites, in units of the cell vectors:
1 F 0.0000 0.0000 0.5000  2 Tl 2.18
2 Os 0.5000 0.5000 0.5000  4 F 3.04, 8 O 3.06
3 O 0.5000 0.0000 0.0000  2 Tl 2.15
4 O 0.0000 0.5000 0.0000  2 Tl 2.15
5 Tl 0.0000 0.0000 0.0000  4 O 2.15, 2 F 2.18

Summary:
Mass density = 9.16 g/cm³
Uncorrected formation energy = 714 meV/atom
Crystal system = tetragonal

# 7
TlOsOF2 | PBE | optimized geometry

abc: 4.5530 4.5530 3.7552
angles: 90.00 90.00 90.00
With the nearest neighbours (Å) after each atom.
Sites, in units of the cell vectors:
1 F 0.0000 0.5000 0.0000  2 Os 2.28
2 F 0.5000 0.0000 0.0000  2 Os 2.28
3 Os 0.0000 0.0000 0.0000  2 O 1.88
4 O 0.0000 0.0000 0.5000  2 Os 1.88
5 Tl 0.5000 0.5000 0.5000  8 F 2.95, 4 O 3.22

Summary:
Mass density = 9.57 g/cm³
Relative energy among the computed polymorphs = 0 meV per atom
Uncorrected formation energy = -976 meV/atom
Crystal system = tetragonal